[1]
LaNi3Te: optimized geometry, GGA-PBE.

- Total moment: 0.0 Bohr magnetons per cell
- Uncorrected formation energy: 0.975 eV per atom
- Crystal system: cubic

a b c (Å): 4.7655 4.7655 4.7655
angles (deg): 90.00 90.00 90.00
Fractional coordinates of all 5 atoms:
La (0.0000, 0.0000, 0.0000)
Ni (0.0000, 0.0000, 0.5000)
Ni (0.0000, 0.5000, 0.0000)
Ni (0.5000, 0.0000, 0.0000)
Te (0.5000, 0.5000, 0.5000)

[2]
LaTiNiTe2: optimized geometry, GGA-PBE.

- Total moment: 0.4 Bohr magnetons per cell
- Uncorrected formation energy: -0.501 eV per atom
- Crystal system: tetragonal

a b c (Å): 5.3273 5.3273 4.5410
angles (deg): 90.00 90.00 90.00
Fractional coordinates of all 5 atoms:
La (0.0000, 0.0000, 0.0000)
Ti (0.5000, 0.5000, 0.5000)
Ni (0.5000, 0.5000, 0.0000)
Te (0.0000, 0.5000, 0.5000)
Te (0.5000, 0.0000, 0.5000)

[3]
LaTl2NiTe: optimized geometry, GGA-PBE.

- Total moment: 0.0 Bohr magnetons per cell
- Uncorrected formation energy: -0.496 eV per atom
- Crystal system: tetragonal

a b c (Å): 5.0819 5.0819 5.3853
angles (deg): 90.00 90.00 90.00
Fractional coordinates of all 5 atoms:
La (0.0000, 0.0000, 0.0000)
Tl (0.0000, 0.5000, 0.5000)
Tl (0.5000, 0.0000, 0.5000)
Ni (0.0000, 0.0000, 0.5000)
Te (0.5000, 0.5000, 0.0000)

[4]
La2ZnNiTe: optimized geometry, GGA-PBE.

- Total moment: 0.0 Bohr magnetons per cell
- Uncorrected formation energy: -0.705 eV per atom
- Crystal system: tetragonal

a b c (Å): 5.3867 5.3867 4.6321
angles (deg): 90.00 90.00 90.00
Fractional coordinates of all 5 atoms:
La (0.0000, 0.5000, 0.0000)
La (0.5000, 0.0000, 0.0000)
Zn (0.0000, 0.0000, 0.5000)
Ni (0.0000, 0.0000, 0.0000)
Te (0.5000, 0.5000, 0.5000)

[5]
LaZrNiTe2: optimized geometry, GGA-PBE.

- Total moment: 0.6 Bohr magnetons per cell
- Uncorrected formation energy: -0.138 eV per atom
- Crystal system: tetragonal

a b c (Å): 5.2297 5.2297 4.7468
angles (deg): 90.00 90.00 90.00
Fractional coordinates of all 5 atoms:
La (0.0000, 0.0000, 0.0000)
Zr (0.5000, 0.5000, 0.0000)
Ni (0.0000, 0.0000, 0.5000)
Te (0.0000, 0.5000, 0.5000)
Te (0.5000, 0.0000, 0.5000)

[6]
LaTh2Ni: optimized geometry, GGA-PBE.

- Formation energy from the elements: -67 meV/atom
- Total moment: 0.0 Bohr magnetons per cell
- Crystal system: trigonal

a b c (Å): 3.8219 3.8219 28.0348
angles (deg): 90.00 90.00 120.00
Fractional coordinates of all 12 atoms:
La (0.0000, 0.0000, 0.0000)
La (0.3333, 0.6667, 0.6667)
La (0.6667, 0.3333, 0.3333)
Th (0.0000, 0.0000, 0.5638)
Th (0.0000, 0.0000, 0.7746)
Th (0.3333, 0.6667, 0.2305)
Th (0.3333, 0.6667, 0.4413)
Th (0.6667, 0.3333, 0.1079)
Th (0.6667, 0.3333, 0.8971)
Ni (0.0000, 0.0000, 0.1686)
Ni (0.3333, 0.6667, 0.8352)
Ni (0.6667, 0.3333, 0.5019)

[7]
LaThNi4: optimized geometry, GGA-PBE.

- Formation energy from the elements: -374 meV/atom
- Total moment: 0.0 Bohr magnetons per cell
- Crystal system: tetragonal

a b c (Å): 3.9380 3.9380 14.5778
angles (deg): 90.00 90.00 90.00
Fractional coordinates of all 12 atoms:
La (0.0000, 0.0000, 0.0000)
La (0.5000, 0.5000, 0.5000)
Th (0.0000, 0.5000, 0.7500)
Th (0.5000, 0.0000, 0.2500)
Ni (0.0000, 0.0000, 0.4178)
Ni (0.0000, 0.0000, 0.5822)
Ni (0.0000, 0.5000, 0.1705)
Ni (0.0000, 0.5000, 0.3295)
Ni (0.5000, 0.0000, 0.6705)
Ni (0.5000, 0.0000, 0.8295)
Ni (0.5000, 0.5000, 0.0822)
Ni (0.5000, 0.5000, 0.9178)

[8]
LaThNi: optimized geometry, GGA-PBE.

- Formation energy from the elements: -123 meV/atom
- Total moment: 0.0 Bohr magnetons per cell
- Crystal system: trigonal

a b c (Å): 3.8144 3.8144 6.5585
angles (deg): 90.00 90.00 120.00
Fractional coordinates of all 3 atoms:
La (0.0000, 0.0000, 0.0000)
Th (0.3333, 0.6667, 0.5438)
Ni (0.6667, 0.3333, 0.2907)

[9]
La2Th3Ni2: optimized geometry, GGA-PBE.

- Formation energy from the elements: -235 meV/atom
- Total moment: 0.0 Bohr magnetons per cell
- Crystal system: monoclinic

a b c (Å): 12.0703 3.7833 9.0924
angles (deg): 90.00 111.56 90.00
Fractional coordinates of all 14 atoms:
La (0.1668, 0.0000, 0.3006)
La (0.3332, 0.5000, 0.6994)
La (0.6668, 0.5000, 0.3006)
La (0.8332, 0.0000, 0.6994)
Th (0.0000, 0.5000, 0.5000)
Th (0.1207, 0.5000, 0.9338)
Th (0.3793, 0.0000, 0.0662)
Th (0.5000, 0.0000, 0.5000)
Th (0.6207, 0.0000, 0.9338)
Th (0.8793, 0.5000, 0.0662)
Ni (0.1354, 0.0000, 0.7139)
Ni (0.3646, 0.5000, 0.2861)
Ni (0.6354, 0.5000, 0.7139)
Ni (0.8646, 0.0000, 0.2861)

[10]
LaThNi: optimized geometry, GGA-PBE.

- Formation energy from the elements: -173 meV/atom
- Total moment: 0.0 Bohr magnetons per cell
- Crystal system: tetragonal

a b c (Å): 3.6145 3.6145 11.8141
angles (deg): 90.00 90.00 90.00
Fractional coordinates of all 6 atoms:
La (0.0000, 0.0000, 0.0000)
La (0.5000, 0.5000, 0.5000)
Th (0.0000, 0.0000, 0.2893)
Th (0.5000, 0.5000, 0.7893)
Ni (0.0000, 0.0000, 0.6866)
Ni (0.5000, 0.5000, 0.1866)

[11]
LaThNi4: optimized geometry, GGA-PBE.

- Formation energy from the elements: -333 meV/atom
- Total moment: 0.0 Bohr magnetons per cell
- Crystal system: cubic

a b c (Å): 5.1903 5.1903 5.1903
angles (deg): 60.00 60.00 60.00
Fractional coordinates of all 6 atoms:
La (0.0000, 0.0000, 0.0000)
Th (0.2500, 0.2500, 0.2500)
Ni (0.1270, 0.6243, 0.6243)
Ni (0.6243, 0.1270, 0.6243)
Ni (0.6243, 0.6243, 0.1270)
Ni (0.6243, 0.6243, 0.6243)

[12]
LaTh2Ni: optimized geometry, GGA-PBE.

- Formation energy from the elements: 95 meV/atom
- Total moment: 0.0 Bohr magnetons per cell
- Crystal system: trigonal

a b c (Å): 3.6788 3.6788 31.0350
angles (deg): 90.00 90.00 120.00
Fractional coordinates of all 12 atoms:
La (0.0000, 0.0000, 0.0000)
La (0.3333, 0.6667, 0.6667)
La (0.6667, 0.3333, 0.3333)
Th (0.0000, 0.0000, 0.1093)
Th (0.0000, 0.0000, 0.8907)
Th (0.3333, 0.6667, 0.5574)
Th (0.3333, 0.6667, 0.7759)
Th (0.6667, 0.3333, 0.2241)
Th (0.6667, 0.3333, 0.4426)
Ni (0.0000, 0.0000, 0.5000)
Ni (0.3333, 0.6667, 0.1667)
Ni (0.6667, 0.3333, 0.8333)